Entry 1:
Here is crystalline Hf2ZrPb at its relaxed geometry from the Alexandria database. Energies are from GGA-PBE.

Cell: 4.4944 4.4799 4.4799 Å, 90.00 90.00 90.00°
Closest atoms and distances in Å follow each position.
Element x y z (fractional)
Pb 0.5000 0.0000 0.0000  4 Zr 3.17, 8 Hf 3.17
Hf 0.0000 0.5000 0.0000  4 Hf 3.17, 4 Pb 3.17, 4 Zr 3.17
Hf 0.0000 0.0000 0.5000  4 Hf 3.17, 4 Pb 3.17, 4 Zr 3.17
Zr 0.5000 0.5000 0.5000  4 Pb 3.17, 8 Hf 3.17

Results
The energy of formation from the pure elements is -0.056 eV/atom. As for the size of the total moment: 0.00 μB/f.u. As for the total energy: -0.5951 Ry per atom.

---

Entry 2:
Here is crystalline RbMgIn2Pb2 at its relaxed geometry from the Alexandria database. Energies are from GGA-PBE.

Cell: 5.1493 5.1493 8.8988 Å, 90.00 90.00 120.00°
Closest atoms and distances in Å follow each position.
Element x y z (fractional)
Mg 0.0000 0.0000 0.5000  6 In 3.18
Rb 0.0000 0.0000 0.0000  6 Pb 3.81
Pb 0.6667 0.3333 0.2673  4 In 3.12-3.20
In 0.3333 0.6667 0.3729  4 Pb 3.12-3.20, 3 Mg 3.18
In 0.6667 0.3333 0.6271  4 Pb 3.12-3.20, 3 Mg 3.18
Pb 0.3333 0.6667 0.7327  4 In 3.12-3.20

Results
The energy of formation from the pure elements is -0.079 eV/atom. As for the size of the total moment: 0.00 μB/f.u. As for the total energy: -0.1951 Ry per atom.

---

Entry 3:
Here is crystalline KScAs at its relaxed geometry from the Alexandria database. Energies are from GGA-PBE.

Cell: 4.2314 4.2314 7.0496 Å, 90.00 90.00 120.00°
Closest atoms and distances in Å follow each position.
Element x y z (fractional)
As 0.0000 0.0000 0.9317  3 Sc 2.62
K 0.6667 0.3333 0.2692  3 As 3.41
Sc 0.3333 0.6667 0.7991  3 As 2.62

Results
The energy of formation from the pure elements is -0.482 eV/atom. As for the size of the total moment: 0.24 μB/f.u. As for the total energy: -0.3314 Ry per atom.

---

Entry 4:
Here is crystalline AlMoAu2 at its relaxed geometry from the Alexandria database. Energies are from GGA-PBE.

Cell: 3.8282 3.8282 10.1999 Å, 79.18 79.18 90.00°
Closest atoms and distances in Å follow each position.
Element x y z (fractional)
Au 0.3750 0.3776 0.7500  4 Au 2.69-2.72, 2 Al 2.80, 2 Mo 2.81
Mo 0.7500 0.2500 0.5000  4 Al 2.71, 4 Au 2.81
Au 0.1276 0.6250 0.2500  4 Au 2.69-2.72, 2 Al 2.80, 2 Mo 2.81
Mo 0.0000 0.0000 0.0000  4 Al 2.71, 4 Au 2.81
Au 0.8750 0.8724 0.7500  4 Au 2.69-2.72, 2 Al 2.80, 2 Mo 2.81
Al 0.2500 0.7500 0.5000  4 Mo 2.71, 4 Au 2.80
Al 0.5000 0.5000 0.0000  4 Mo 2.71, 4 Au 2.80
Au 0.6224 0.1250 0.2500  4 Au 2.69-2.72, 2 Al 2.80, 2 Mo 2.81

Results
The energy of formation from the pure elements is 0.345 eV/atom. As for the size of the total moment: 0.00 μB/f.u. As for the total energy: -0.3628 Ry per atom.

---

Entry 5:
Here is crystalline Hf3ZrOs4 at its relaxed geometry from the Alexandria database. Energies are from GGA-PBE.

Cell: 3.2543 4.6162 9.2329 Å, 90.00 90.00 90.00°
Closest atoms and distances in Å follow each position.
Element x y z (fractional)
Hf 0.5000 0.0000 0.7491  8 Os 2.82-2.83
Os 0.0000 0.0000 0.0000  4 Zr 2.82, 4 Hf 2.83
Zr 0.5000 0.5000 0.0000  8 Os 2.82-2.84
Hf 0.5000 0.0000 0.2509  8 Os 2.82-2.83
Os 0.0000 0.5000 0.2521  6 Hf 2.81-2.82, 2 Zr 2.84
Os 0.0000 0.5000 0.7479  6 Hf 2.81-2.82, 2 Zr 2.84
Os 0.0000 0.0000 0.5000  8 Hf 2.82
Hf 0.5000 0.5000 0.5000  8 Os 2.81-2.82

Results
The energy of formation from the pure elements is -0.659 eV/atom. As for the size of the total moment: 0.00 μB/f.u. As for the total energy: -0.8140 Ry per atom.

---

Entry 6:
Here is crystalline YPuPt at its relaxed geometry from the Alexandria database. Energies are from GGA-PBE.

Cell: 3.7946 4.7247 4.7247 Å, 120.00 90.00 90.00°
Closest atoms and distances in Å follow each position.
Element x y z (fractional)
Pt 0.9893 0.0000 0.0000  3 Pu 2.91, 3 Y 2.95
Pu 0.7243 0.6667 0.3333  3 Pt 2.91, 3 Y 3.19
Y 0.2864 0.3333 0.6667  3 Pt 2.95, 3 Pu 3.19

Results
The energy of formation from the pure elements is -0.437 eV/atom. As for the size of the total moment: 6.02 μB/f.u. As for the total energy: -0.6896 Ry per atom.

---

Entry 7:
Here is crystalline GaCN2 at its relaxed geometry from the Alexandria database. Energies are from GGA-PBE.

Cell: 3.6939 3.6939 3.6939 Å, 60.00 60.00 60.00°
Closest atoms and distances in Å follow each position.
Element x y z (fractional)
N 0.2500 0.2500 0.2500  4 Ga 2.26, 4 C 2.26
C 0.0000 0.0000 0.0000  8 N 2.26
Ga 0.5000 0.5000 0.5000  8 N 2.26
N 0.7500 0.7500 0.7500  4 Ga 2.26, 4 C 2.26

Results
As for the uncorrected formation energy: 2.5757 eV/atom. As for the size of the total moment: 0.00 μB/f.u. As for the total energy: -0.3417 Ry per atom.

---

Entry 8:
Here is crystalline Th2CdHg2 at its relaxed geometry from the Alexandria database. Energies are from GGA-PBE.

Cell: 4.7395 7.6235 7.6235 Å, 90.00 90.00 90.00°
Closest atoms and distances in Å follow each position.
Element x y z (fractional)
Th 0.5000 0.6662 0.8338  6 Hg 3.18-3.32
Hg 0.0000 0.1375 0.3625  2 Cd 2.96, 1 Hg 2.97, 2 Th 3.18
Cd 0.0000 0.5000 0.5000  4 Hg 2.96
Cd 0.0000 0.0000 0.0000  4 Hg 2.96
Th 0.5000 0.1662 0.6662  6 Hg 3.18-3.32
Hg 0.0000 0.6375 0.1375  2 Cd 2.96, 1 Hg 2.97, 2 Th 3.18
Th 0.5000 0.3338 0.1662  6 Hg 3.18-3.32
Hg 0.0000 0.8625 0.6375  2 Cd 2.96, 1 Hg 2.97, 2 Th 3.18
Th 0.5000 0.8338 0.3338  6 Hg 3.18-3.32
Hg 0.0000 0.3625 0.8625  2 Cd 2.96, 1 Hg 2.97, 2 Th 3.18

Results
The energy of formation from the pure elements is -0.194 eV/atom. As for the size of the total moment: 0.00 μB/f.u. As for the total energy: -0.2547 Ry per atom.